First-principles (PBE) data for a geometry-optimized AlZnCr2 structure, as listed in the Alexandria database.

Calculated values
E	-5.960	eV/atom
crystal system	monoclinic
N(E_F)	7.36	states/eV/cell
ΔE_f	0.4	eV/f.u.

Cell: 5.0409 8.2203 2.5361 Å, 90.00 102.32 90.00°
Closest atoms and distances in Å follow each position.
Space group C2/m (No. 12)
Symmetry-distinct sites (fractional):
Al1 0.0000 0.0000 0.0000 [2 per cell]  2 Zn 2.52, 2 Al 2.54, 4 Cr 2.60
Zn1 0.0000 0.5000 0.0000 [2 per cell]  2 Al 2.52, 2 Zn 2.54, 4 Cr 2.60
Cr1 0.2500 0.2500 0.5000 [4 per cell]  4 Cr 2.52-2.54, 2 Al 2.60, 2 Zn 2.60